Hf2TeP: relaxed, PBE.

## Properties
Polymorph energy (0 for the lowest one)   0.380 eV/atom
Crystal system   cubic
Total magnetization   0.00 μB per formula unit
ΔE_f (raw)   -0.581 eV/atom

Cell lengths 4.798, 4.798, 4.798 Å; angles 60.00, 60.00, 60.00 degrees
Atoms (fractional coordinates):
Hf (0.250, 0.250, 0.250)
Hf (0.750, 0.750, 0.750)
Te (0.000, 0.000, 0.000)
P (0.500, 0.500, 0.500)

Hf4TeP: relaxed, PBE.

## Properties
Crystal system   monoclinic
Total magnetization   0.00 μB per formula unit
ΔE_f (raw)   -0.346 eV/atom

Cell lengths 7.727, 5.728, 6.578 Å; angles 90.00, 106.92, 90.00 degrees
Atoms (fractional coordinates):
Hf (0.168, 0.219, 0.332)
Hf (0.168, 0.281, 0.832)
Hf (0.247, 0.712, 0.128)
Hf (0.247, 0.788, 0.628)
Hf (0.753, 0.212, 0.372)
Hf (0.753, 0.288, 0.872)
Hf (0.832, 0.719, 0.168)
Hf (0.832, 0.781, 0.668)
Te (0.500, 0.000, 0.000)
Te (0.500, 0.500, 0.500)
P (0.000, 0.000, 0.000)
P (0.000, 0.500, 0.500)

Hf2TeP2: relaxed, PBE.

## Properties
Polymorph energy (0 for the lowest one)   0.000 eV/atom
Crystal system   tetragonal
Total magnetization   0.00 μB per formula unit
ΔE_f (raw)   -0.840 eV/atom

Cell lengths 7.625, 7.625, 3.320 Å; angles 90.00, 90.00, 90.00 degrees
Atoms (fractional coordinates):
Hf (0.150, 0.350, 0.000)
Hf (0.350, 0.850, 0.000)
Hf (0.650, 0.150, 0.000)
Hf (0.850, 0.650, 0.000)
Te (0.000, 0.000, 0.000)
Te (0.500, 0.500, 0.000)
P (0.133, 0.633, 0.500)
P (0.367, 0.133, 0.500)
P (0.633, 0.867, 0.500)
P (0.867, 0.367, 0.500)

Hf2TeP: relaxed, PBE.

## Properties
Polymorph energy (0 for the lowest one)   0.710 eV/atom
Crystal system   tetragonal
Total magnetization   0.00 μB per formula unit
ΔE_f (raw)   -0.251 eV/atom

Cell lengths 7.480, 7.480, 7.480 Å; angles 131.99, 131.99, 70.24 degrees
Atoms (fractional coordinates):
Hf (0.075, 0.625, 0.950)
Hf (0.375, 0.325, 0.450)
Hf (0.675, 0.125, 0.050)
Hf (0.875, 0.925, 0.550)
Te (0.250, 0.750, 0.500)
Te (0.500, 0.500, 0.000)
P (0.000, 0.000, 0.000)
P (0.750, 0.250, 0.500)

HfTeP2: relaxed, PBE.

## Properties
Crystal system   tetragonal
Total magnetization   0.00 μB per formula unit
ΔE_f (raw)   0.139 eV/atom

Cell lengths 7.422, 7.422, 7.422 Å; angles 131.48, 131.48, 71.05 degrees
Atoms (fractional coordinates):
Hf (0.000, 0.000, 0.000)
Hf (0.750, 0.250, 0.500)
Te (0.250, 0.750, 0.500)
Te (0.500, 0.500, 0.000)
P (0.087, 0.625, 0.962)
P (0.375, 0.337, 0.462)
P (0.663, 0.125, 0.038)
P (0.875, 0.913, 0.538)

Hf2TeP: relaxed, PBE.

## Properties
Polymorph energy (0 for the lowest one)   0.004 eV/atom
Crystal system   trigonal
Total magnetization   0.00 μB per formula unit
ΔE_f (raw)   -0.956 eV/atom

Cell lengths 7.083, 7.083, 7.083 Å; angles 31.03, 31.03, 31.03 degrees
Atoms (fractional coordinates):
Hf (0.000, 0.000, 0.000)
Hf (0.203, 0.203, 0.203)
Te (0.433, 0.433, 0.433)
P (0.602, 0.602, 0.602)

Hf2TeP: relaxed, PBE.

## Properties
Polymorph energy (0 for the lowest one)   0.000 eV/atom
Crystal system   trigonal
Total magnetization   0.00 μB per formula unit
ΔE_f (raw)   -0.961 eV/atom

Cell lengths 6.953, 6.953, 6.953 Å; angles 32.33, 32.33, 32.33 degrees
Atoms (fractional coordinates):
Hf (0.228, 0.228, 0.228)
Hf (0.772, 0.772, 0.772)
Te (0.000, 0.000, 0.000)
P (0.500, 0.500, 0.500)

HfTlTe2P: relaxed, PBE.

## Properties
Crystal system   tetragonal
Total magnetization   0.00 μB per formula unit
ΔE_f (raw)   1.116 eV/atom

Cell lengths 5.599, 5.599, 4.954 Å; angles 90.00, 90.00, 90.00 degrees
Atoms (fractional coordinates):
Hf (0.000, 0.000, 0.000)
Tl (0.500, 0.500, 0.500)
Te (0.000, 0.500, 0.500)
Te (0.500, 0.000, 0.500)
P (0.500, 0.500, 0.000)

HfThP2: relaxed, PBE.

## Properties
Polymorph energy (0 for the lowest one)   0.078 eV/atom
Crystal system   trigonal
Total magnetization   0.00 μB per formula unit
Formation enthalpy at 0 K   -1.3084 eV/atom

Cell lengths 7.172, 7.172, 7.172 Å; angles 30.86, 30.86, 30.86 degrees
Atoms (fractional coordinates):
Hf (0.000, 0.000, 0.000)
Th (0.825, 0.825, 0.825)
P (0.402, 0.402, 0.402)
P (0.590, 0.590, 0.590)

Hf2ThP4: relaxed, PBE.

## Properties
Crystal system   orthorhombic
Total magnetization   0.00 μB per formula unit
Formation enthalpy at 0 K   -1.1361 eV/atom

Cell lengths 6.417, 6.417, 12.470 Å; angles 90.00, 90.00, 145.30 degrees
Atoms (fractional coordinates):
Hf (0.134, 0.866, 0.558)
Hf (0.134, 0.866, 0.942)
Hf (0.866, 0.134, 0.058)
Hf (0.866, 0.134, 0.442)
Th (0.392, 0.608, 0.750)
Th (0.608, 0.392, 0.250)
P (0.063, 0.937, 0.750)
P (0.236, 0.764, 0.126)
P (0.236, 0.764, 0.374)
P (0.500, 0.500, 0.000)
P (0.500, 0.500, 0.500)
P (0.764, 0.236, 0.626)
P (0.764, 0.236, 0.874)
P (0.937, 0.063, 0.250)

HfThP2: relaxed, PBE.

## Properties
Polymorph energy (0 for the lowest one)   0.000 eV/atom
Crystal system   trigonal
Total magnetization   0.00 μB per formula unit
Formation enthalpy at 0 K   -1.3862 eV/atom

Cell lengths 6.769, 6.769, 6.769 Å; angles 33.66, 33.66, 33.66 degrees
Atoms (fractional coordinates):
Hf (0.000, 0.000, 0.000)
Th (0.500, 0.500, 0.500)
P (0.260, 0.260, 0.260)
P (0.740, 0.740, 0.740)

HfTh3P4: relaxed, PBE.

## Properties
Crystal system   monoclinic
Total magnetization   0.00 μB per formula unit
Formation enthalpy at 0 K   -1.4245 eV/atom

Cell lengths 7.010, 8.026, 7.007 Å; angles 90.00, 109.40, 90.00 degrees
Atoms (fractional coordinates):
Hf (0.000, 0.125, 0.250)
Hf (0.000, 0.875, 0.750)
Th (0.000, 0.372, 0.750)
Th (0.000, 0.628, 0.250)
Th (0.500, 0.124, 0.750)
Th (0.500, 0.372, 0.250)
Th (0.500, 0.628, 0.750)
Th (0.500, 0.876, 0.250)
P (0.229, 0.113, 0.000)
P (0.229, 0.887, 0.500)
P (0.239, 0.364, 0.488)
P (0.239, 0.636, 0.988)
P (0.761, 0.364, 0.012)
P (0.761, 0.636, 0.512)
P (0.771, 0.113, 0.500)
P (0.771, 0.887, 0.000)

Number 1: DOS at the Fermi energy 2.577 states/eV per cell. Number 2: DOS at the Fermi energy 7.405 states/eV per cell. Number 3: DOS at the Fermi energy 2.928 states/eV per cell. Number 4: DOS at the Fermi energy 6.892 states/eV per cell. Number 5: DOS at the Fermi energy 6.389 states/eV per cell. Number 6: DOS at the Fermi energy 1.867 states/eV per cell. Number 7: DOS at the Fermi energy 1.797 states/eV per cell. Number 8: DOS at the Fermi energy 5.938 states/eV per cell. Number 9: DOS at the Fermi energy 1.533 states/eV per cell. Number 10: DOS at the Fermi energy 2.796 states/eV per cell. Number 11: DOS at the Fermi energy 1.993 states/eV per cell. Number 12: DOS at the Fermi energy 8.466 states/eV per cell.